1:
DFT (PBE) results for an optimized crystal structure of Co3SiRu.

Properties
Space-group type ... No. 221

a b c (Å): 4.137 4.137 4.137
angles (deg): 90.00 90.00 90.00
Fractional coordinates of all 5 atoms:
Co 0.000 0.000 0.500
Co 0.000 0.500 0.000
Co 0.500 0.000 0.000
Si 0.000 0.000 0.000
Ru 0.500 0.500 0.500



2:
DFT (PBE) results for an optimized crystal structure of Co3SiRu.

Properties
Space-group type ... No. 221

a b c (Å): 4.442 4.442 4.442
angles (deg): 90.00 90.00 90.00
Fractional coordinates of all 5 atoms:
Co 0.000 0.000 0.500
Co 0.000 0.500 0.000
Co 0.500 0.000 0.000
Si 0.500 0.500 0.500
Ru 0.000 0.000 0.000



Stability verdict: 1, ahead by 751 meV per atom



1:
DFT (PBE) results for an optimized crystal structure of CoSiRu3.

Properties
Space-group type ... No. 221

a b c (Å): 4.389 4.389 4.389
angles (deg): 90.00 90.00 90.00
Fractional coordinates of all 5 atoms:
Co 0.000 0.000 0.000
Si 0.500 0.500 0.500
Ru 0.000 0.000 0.500
Ru 0.000 0.500 0.000
Ru 0.500 0.000 0.000



2:
DFT (PBE) results for an optimized crystal structure of CoSiRu3.

Properties
Space-group type ... No. 221

a b c (Å): 4.310 4.310 4.310
angles (deg): 90.00 90.00 90.00
Fractional coordinates of all 5 atoms:
Co 0.000 0.000 0.000
Si 0.500 0.500 0.500
Ru 0.000 0.500 0.500
Ru 0.500 0.000 0.500
Ru 0.500 0.500 0.000



Stability verdict: 2, ahead by 359 meV per atom



1:
DFT (PBE) results for an optimized crystal structure of Sm3CoRu.

Properties
Space-group type ... No. 2

a b c (Å): 4.031 7.636 8.116
angles (deg): 93.32 90.04 105.27
Fractional coordinates of all 10 atoms:
Sm 0.056 0.111 0.326
Sm 0.237 0.474 0.681
Sm 0.386 0.773 0.063
Sm 0.614 0.227 0.937
Sm 0.763 0.526 0.319
Sm 0.944 0.889 0.674
Co 0.205 0.409 0.080
Co 0.795 0.591 0.920
Ru 0.401 0.802 0.432
Ru 0.599 0.198 0.568



2:
DFT (PBE) results for an optimized crystal structure of Sm3CoRu.

Properties
Space-group type ... No. 11

a b c (Å): 7.840 4.088 8.133
angles (deg): 90.00 113.36 90.00
Fractional coordinates of all 10 atoms:
Sm 0.092 0.250 0.224
Sm 0.310 0.250 0.920
Sm 0.372 0.750 0.596
Sm 0.628 0.250 0.404
Sm 0.690 0.750 0.080
Sm 0.908 0.750 0.776
Co 0.042 0.250 0.556
Co 0.958 0.750 0.444
Ru 0.348 0.750 0.188
Ru 0.652 0.250 0.812



Stability verdict: 2, ahead by 58 meV per atom



1:
DFT (PBE) results for an optimized crystal structure of Sm6Co2Ru.

Properties
Space-group type ... No. 71

a b c (Å): 8.333 8.333 8.333
angles (deg): 109.92 109.78 108.72
Fractional coordinates of all 18 atoms:
Sm 0.011 0.828 0.183
Sm 0.257 0.325 0.583
Sm 0.257 0.675 0.932
Sm 0.265 0.581 0.316
Sm 0.265 0.949 0.684
Sm 0.355 0.172 0.183
Sm 0.645 0.828 0.817
Sm 0.735 0.051 0.316
Sm 0.735 0.419 0.684
Sm 0.743 0.325 0.068
Sm 0.743 0.675 0.417
Sm 0.989 0.172 0.817
Co 0.000 0.170 0.170
Co 0.000 0.830 0.830
Co 0.388 0.388 0.000
Co 0.612 0.612 0.000
Ru 0.000 0.500 0.500
Ru 0.500 0.000 0.500



2:
DFT (PBE) results for an optimized crystal structure of Sm6Co2Ru.

Properties
Space-group type ... No. 14

a b c (Å): 6.643 7.137 11.817
angles (deg): 90.00 122.29 90.00
Fractional coordinates of all 18 atoms:
Sm 0.076 0.036 0.242
Sm 0.076 0.464 0.742
Sm 0.233 0.660 0.082
Sm 0.233 0.840 0.582
Sm 0.397 0.164 0.077
Sm 0.397 0.336 0.577
Sm 0.603 0.664 0.423
Sm 0.603 0.836 0.923
Sm 0.767 0.160 0.418
Sm 0.767 0.340 0.918
Sm 0.924 0.536 0.258
Sm 0.924 0.964 0.758
Co 0.338 0.153 0.808
Co 0.338 0.347 0.308
Co 0.662 0.653 0.692
Co 0.662 0.847 0.192
Ru 0.500 0.000 0.500
Ru 0.500 0.500 0.000



Stability verdict: 1, ahead by 32 meV per atom



1:
DFT (PBE) results for an optimized crystal structure of TbSmCoRu.

Properties
Space-group type ... No. 216

a b c (Å): 4.832 4.832 4.832
angles (deg): 60.00 60.00 60.00
Fractional coordinates of all 4 atoms:
Tb 0.000 0.000 0.000
Sm 0.500 0.500 0.500
Co 0.750 0.750 0.750
Ru 0.250 0.250 0.250



2:
DFT (PBE) results for an optimized crystal structure of TbSmCoRu.

Properties
Space-group type ... No. 38

a b c (Å): 4.036 5.613 5.613
angles (deg): 43.98 90.00 90.00
Fractional coordinates of all 4 atoms:
Tb 0.000 0.000 0.000
Sm 0.500 0.290 0.290
Co 0.000 0.701 0.701
Ru 0.500 0.586 0.586



Stability verdict: 2, ahead by 50 meV per atom



1:
DFT (PBE) results for an optimized crystal structure of CoSn2Ru2.

Properties
Space-group type ... No. 127

a b c (Å): 7.485 7.485 3.084
angles (deg): 90.00 90.00 90.00
Fractional coordinates of all 10 atoms:
Co 0.000 0.000 0.000
Co 0.500 0.500 0.000
Sn 0.153 0.347 0.000
Sn 0.347 0.847 0.000
Sn 0.653 0.153 0.000
Sn 0.847 0.653 0.000
Ru 0.147 0.647 0.500
Ru 0.353 0.147 0.500
Ru 0.647 0.853 0.500
Ru 0.853 0.353 0.500



2:
DFT (PBE) results for an optimized crystal structure of CoSn2Ru2.

Properties
Space-group type ... No. 139

a b c (Å): 8.149 8.149 8.149
angles (deg): 155.65 155.65 34.71
Fractional coordinates of all 5 atoms:
Co 0.000 0.000 0.000
Sn 0.401 0.401 0.000
Sn 0.599 0.599 0.000
Ru 0.250 0.750 0.500
Ru 0.750 0.250 0.500



Stability verdict: 1, ahead by 308 meV per atom